This record from Alexandria via LeMat-Bulk describes a geometry-optimized CsK2Ag2 structure. The functional is PBE.

Unit cell a=7.359 b=7.359 c=6.886 alpha=101.67 beta=101.67 gamma=40.19
Atoms (fractional coordinates):
Cs1 0.000 0.000 0.000
K1 0.343 0.343 0.417
K2 0.657 0.657 0.583
Ag1 0.266 0.266 0.909
Ag2 0.734 0.734 0.091

Properties
- formation enthalpy at 0 K (eV per atom) = 0.036
- SG = C2/m (12)
- excess energy over the best structure of this formula in the dataset (meV per atom) = 0.0